[1]
A relaxed structure of BaLi9In3. Source: Alexandria via LeMat-Bulk, functional GGA-PBE.

a = 7.648 Å, b = 7.648 Å, c = 7.751 Å
α = 98.30°, β = 98.30°, γ = 134.37°
Fractional positions:
Ba 0.000 0.000 0.000
Li 0.028 0.671 0.655
Li 0.257 0.493 0.766
Li 0.329 0.972 0.345
Li 0.493 0.257 0.766
Li 0.500 0.500 0.500
Li 0.507 0.743 0.234
Li 0.671 0.028 0.655
Li 0.743 0.507 0.234
Li 0.972 0.329 0.345
In 0.000 0.000 0.500
In 0.000 0.500 0.000
In 0.500 0.000 0.000

Results
Its raw total energy is -29.85 eV for the cell shown. Its symmetry is C2/m, No. 12. Its density of states at the Fermi level is 6.435 states/eV/f.u. Its formation enthalpy at 0 K is -191 meV/atom.

=====

[2]
A relaxed structure of BiSI. Source: Alexandria via LeMat-Bulk, functional GGA-PBE.

a = 10.915 Å, b = 5.461 Å, c = 7.657 Å
α = 90.00°, β = 90.00°, γ = 90.00°
Fractional positions:
Bi 0.062 0.250 0.184
Bi 0.438 0.750 0.684
Bi 0.562 0.250 0.316
Bi 0.938 0.750 0.816
S 0.046 0.750 0.111
S 0.454 0.250 0.611
S 0.546 0.750 0.389
S 0.954 0.250 0.889
I 0.165 0.750 0.549
I 0.335 0.250 0.049
I 0.665 0.750 0.951
I 0.835 0.250 0.451

Results
Its raw total energy is -42.24 eV for the cell shown. Its symmetry is Pnma, No. 62. Its density of states at the Fermi level is 0.000 states/eV/f.u.

=====

[3]
A relaxed structure of LaEr2TmBi4. Source: Alexandria via LeMat-Bulk, functional GGA-PBE.

a = 7.813 Å, b = 7.813 Å, c = 7.813 Å
α = 131.72°, β = 131.72°, γ = 70.67°
Fractional positions:
La 0.000 0.000 0.000
Er 0.250 0.750 0.500
Er 0.750 0.250 0.500
Tm 0.500 0.500 0.000
Bi 0.000 0.500 0.500
Bi 0.256 0.256 0.000
Bi 0.500 0.000 0.500
Bi 0.744 0.744 0.000

Results
Its raw total energy is -40.81 eV for the cell shown. Its symmetry is I4/mmm, No. 139. Its density of states at the Fermi level is 1.241 states/eV/f.u. Its formation enthalpy at 0 K is -845 meV/atom.

=====

[4]
A relaxed structure of ErTiPdAu. Source: Alexandria via LeMat-Bulk, functional GGA-PBE.

a = 4.787 Å, b = 4.787 Å, c = 4.787 Å
α = 60.00°, β = 60.00°, γ = 60.00°
Fractional positions:
Er 0.000 0.000 0.000
Ti 0.500 0.500 0.500
Pd 0.750 0.750 0.750
Au 0.250 0.250 0.250

Results
Its raw total energy is -23.13 eV for the cell shown. Its symmetry is F-43m, No. 216. Its density of states at the Fermi level is 4.883 states/eV/f.u. Its formation enthalpy at 0 K is -551 meV/atom.

=====

[5]
A relaxed structure of BaP2ClO. Source: Alexandria via LeMat-Bulk, functional GGA-PBE.

a = 4.543 Å, b = 4.543 Å, c = 5.603 Å
α = 90.00°, β = 90.00°, γ = 90.00°
Fractional positions:
Ba 0.000 0.000 0.000
P 0.000 0.500 0.500
P 0.500 0.000 0.500
Cl 0.500 0.500 0.500
O 0.500 0.500 0.000

Results
Its raw total energy is -18.43 eV for the cell shown. Its symmetry is P4/mmm, No. 123. Its density of states at the Fermi level is 4.817 states/eV/f.u. As for the energy above the most stable polymorph in this dataset: 394.3 kJ/mol of formula units.

=====

[6]
A relaxed structure of ZnIn2F. Source: Alexandria via LeMat-Bulk, functional GGA-PBE.

a = 4.822 Å, b = 4.822 Å, c = 4.822 Å
α = 60.00°, β = 60.00°, γ = 60.00°
Fractional positions:
Zn 0.000 0.000 0.000
In 0.250 0.250 0.250
In 0.750 0.750 0.750
F 0.500 0.500 0.500

Results
Its raw total energy is -10.92 eV for the cell shown. Its symmetry is Fm-3m, No. 225. Its density of states at the Fermi level is 1.940 states/eV/f.u. As for the energy above the most stable polymorph in this dataset: 2.3 kJ/mol of formula units.

=====

[7]
A relaxed structure of Ti2Si2Ni. Source: Alexandria via LeMat-Bulk, functional GGA-PBE.

a = 6.013 Å, b = 6.013 Å, c = 3.868 Å
α = 90.00°, β = 90.00°, γ = 90.00°
Fractional positions:
Ti 0.168 0.332 0.000
Ti 0.332 0.832 0.000
Ti 0.668 0.168 0.000
Ti 0.832 0.668 0.000
Si 0.138 0.638 0.500
Si 0.362 0.138 0.500
Si 0.638 0.862 0.500
Si 0.862 0.362 0.500
Ni 0.000 0.000 0.500
Ni 0.500 0.500 0.500

Results
Its raw total energy is -72.34 eV for the cell shown. Its symmetry is P4/mbm, No. 127. Its density of states at the Fermi level is 2.867 states/eV/f.u.

=====

[8]
A relaxed structure of RhI2NCl. Source: Alexandria via LeMat-Bulk, functional GGA-PBE.

a = 5.730 Å, b = 5.730 Å, c = 3.660 Å
α = 90.00°, β = 90.00°, γ = 90.00°
Fractional positions:
Rh 0.000 0.000 0.000
I 0.000 0.500 0.000
I 0.500 0.000 0.000
N 0.000 0.000 0.500
Cl 0.500 0.500 0.500

Results
Its raw total energy is -18.11 eV for the cell shown. Its symmetry is P4/mmm, No. 123. Its density of states at the Fermi level is 6.416 states/eV/f.u. As for the energy above the most stable polymorph in this dataset: 0.0 kJ/mol of formula units.